{"formula": "CuRhC2", "functional": "PBE", "state": "relaxed", "volume_a3_per_cell": 38, "e_form_kj_per_mol_fu": 643, "relative_energy_ev_per_atom": 0.599, "sg": "No. 225", "dos_ef_per_ev_atom": 0.8435, "lattice": [[0.0000, 2.6643, 2.6643], [2.6643, 0.0000, 2.6643], [2.6643, 2.6643, 0.0000]], "species": ["C", "C", "Rh", "Cu"], "frac_coords": [[0.2500, 0.2500, 0.2500], [0.7500, 0.7500, 0.7500], [0.5000, 0.5000, 0.5000], [0.0000, 0.0000, 0.0000]]}